[1]
VASP calculation (PBE-GGA) on PuPaGe2O8 after structural relaxation.

Calculated values
**Spin magnetization**: 5.00 Bohr magnetons per cell
**Total DFT energy (no corrections)**: -8.569 eV/atom

```
12
Lattice="6.021 0.109 0.000 -2.572 5.444 0.000 -1.724 -2.777 5.057" Properties=species:S:1:pos:R:3 pbc="T T T"
Pu -1.286 2.722 2.529
Pa 0.000 0.000 0.000
Ge 3.010 0.055 2.529
Ge 1.724 2.777 0.000
O 1.590 -0.421 1.573
O 0.305 2.204 0.904
O 0.116 -1.526 4.154
O 3.214 -1.429 3.484
O 3.143 3.349 0.904
O 4.430 0.530 1.573
O 2.807 1.538 3.484
O -0.116 1.526 4.154
```



[2]
VASP calculation (PBE-GGA) on Rb3PaGe2O8 after structural relaxation.

Calculated values
**Spin magnetization**: 0.00 Bohr magnetons per cell
**Total DFT energy (no corrections)**: -6.602 eV/atom

```
14
Lattice="5.962 0.000 0.000 -2.981 5.163 0.000 0.000 0.000 8.529" Properties=species:S:1:pos:R:3 pbc="T T T"
Rb 0.000 3.442 6.480
Rb 2.981 1.721 2.049
Rb 0.000 0.000 0.000
Pa 0.000 0.000 4.265
Ge 0.000 3.442 2.316
Ge 2.981 1.721 6.214
O 0.000 3.442 0.610
O 2.981 1.721 7.919
O -1.447 4.278 2.997
O 4.428 0.886 5.532
O 0.000 1.771 2.997
O 2.981 3.392 5.532
O 1.447 4.278 2.997
O 1.534 0.886 5.532
```



Result set for Fermi-level density of states: 12.8, 0.0 states/eV per cell, one per record in the order listed.
Result set for ΔE_f (raw): -2.509, -2.223 eV per atom, one per record in the order listed.